Record 1
AlGe2Pd | PBE | relaxed

Cell and atoms, written as CIF:
```
data_AlGe2Pd
_cell_length_a 9.5885
_cell_length_b 9.5885
_cell_length_c 9.5885
_cell_angle_alpha 17.64
_cell_angle_beta 17.64
_cell_angle_gamma 17.64
_symmetry_space_group_name_H-M 'P 1'
_symmetry_Int_Tables_number 1
loop_
_symmetry_equiv_pos_as_xyz
'x,y,z'
loop_
_atom_site_label
_atom_site_type_symbol
_atom_site_fract_x
_atom_site_fract_y
_atom_site_fract_z
Al1 Al 0.0000 0.0000 0.0000
Ge1 Ge 0.0942 0.0942 0.0942
Ge2 Ge 0.9058 0.9058 0.9058
Pd1 Pd 0.5000 0.5000 0.5000
```

Summary:
Uncorrected energy   -4.61 eV per atom
Symmetry   No. 166
Density of states at the Fermi level   1.7 states/eV/cell
Total moment   0.00 μB per formula unit



Record 2
K3NaPu2O6 | PBE | relaxed

Cell and atoms, written as CIF:
```
data_K3NaPu2O6
_cell_length_a 6.0790
_cell_length_b 6.0790
_cell_length_c 6.5455
_cell_angle_alpha 98.89
_cell_angle_beta 98.89
_cell_angle_gamma 120.00
_symmetry_space_group_name_H-M 'P 1'
_symmetry_Int_Tables_number 1
loop_
_symmetry_equiv_pos_as_xyz
'x,y,z'
loop_
_atom_site_label
_atom_site_type_symbol
_atom_site_fract_x
_atom_site_fract_y
_atom_site_fract_z
K1 K 0.0000 0.0000 0.0000
K2 K 0.3433 0.6567 0.0000
K3 K 0.6567 0.3433 0.0000
Na1 Na 0.5000 0.5000 0.5000
Pu1 Pu 0.1671 0.8329 0.5000
Pu2 Pu 0.8329 0.1671 0.5000
O1 O 0.0658 0.4361 0.3094
O2 O 0.1951 0.1951 0.6880
O3 O 0.4361 0.0658 0.3094
O4 O 0.5639 0.9342 0.6906
O5 O 0.8049 0.8049 0.3120
O6 O 0.9342 0.5639 0.6906
```

Summary:
Uncorrected energy   -7.56 eV per atom
Symmetry   No. 12
Density of states at the Fermi level   8.7 states/eV/cell
Raw formation energy   -2.31 eV per atom
Total moment   8.00 μB per formula unit



Record 3
BeSi4P | PBE | relaxed

Cell and atoms, written as CIF:
```
data_BeSi4P
_cell_length_a 4.9822
_cell_length_b 4.9822
_cell_length_c 4.9822
_cell_angle_alpha 60.00
_cell_angle_beta 60.00
_cell_angle_gamma 60.00
_symmetry_space_group_name_H-M 'P 1'
_symmetry_Int_Tables_number 1
loop_
_symmetry_equiv_pos_as_xyz
'x,y,z'
loop_
_atom_site_label
_atom_site_type_symbol
_atom_site_fract_x
_atom_site_fract_y
_atom_site_fract_z
Be1 Be 0.0000 0.0000 0.0000
Si1 Si 0.1237 0.6254 0.6254
Si2 Si 0.6254 0.1237 0.6254
Si3 Si 0.6254 0.6254 0.1237
Si4 Si 0.6254 0.6254 0.6254
P1 P 0.2500 0.2500 0.2500
```

Summary:
Uncorrected energy   -4.35 eV per atom
Symmetry   No. 216
Density of states at the Fermi level   3.8 states/eV/cell
Raw formation energy   0.79 eV per atom
Total moment   0.00 μB per formula unit



Record 4
BaSr2Ca10 | PBE | relaxed

Cell and atoms, written as CIF:
```
data_BaSr2Ca10
_cell_length_a 12.9658
_cell_length_b 9.8908
_cell_length_c 9.8813
_cell_angle_alpha 81.95
_cell_angle_beta 49.05
_cell_angle_gamma 48.99
_symmetry_space_group_name_H-M 'P 1'
_symmetry_Int_Tables_number 1
loop_
_symmetry_equiv_pos_as_xyz
'x,y,z'
loop_
_atom_site_label
_atom_site_type_symbol
_atom_site_fract_x
_atom_site_fract_y
_atom_site_fract_z
Ba1 Ba 0.0000 0.0000 0.0000
Sr1 Sr 0.0000 0.5000 0.0000
Sr2 Sr 0.5000 0.0000 0.5000
Ca1 Ca 0.0000 0.0000 0.5000
Ca2 Ca 0.0052 0.6420 0.3580
Ca3 Ca 0.2823 0.5039 0.4961
Ca4 Ca 0.3580 0.9948 0.0052
Ca5 Ca 0.4961 0.7177 0.2823
Ca6 Ca 0.5000 0.5000 0.0000
Ca7 Ca 0.5039 0.2823 0.7177
Ca8 Ca 0.6420 0.0052 0.9948
Ca9 Ca 0.7177 0.4961 0.5039
Ca10 Ca 0.9948 0.3580 0.6420
```

Summary:
Uncorrected energy   -1.86 eV per atom
Symmetry   No. 69
Density of states at the Fermi level   15.7 states/eV/cell
Total moment   0.00 μB per formula unit